Computed, not measured: a relaxed UMnSi2Rh crystal at the PBE-GGA level of DFT.

Values from the calculation:
As for the space group: I-4m2, No. 119. The calculation puts the energy at -8.34 eV per atom. Its crystal system is tetragonal. The density of states at the Fermi level is 4.6 states/eV per cell.

a b c (Å): 4.0515 4.0515 5.6024
angles (deg): 111.20 111.20 90.00
With the nearest neighbours (Å) after each atom.
Atoms (fractional coordinates):
Si 0.3760 0.3760 0.7519  2 Mn 2.36, 2 Rh 2.36, 1 Si 2.39
Si 0.6240 0.6240 0.2481  2 Rh 2.36, 2 Mn 2.36, 1 Si 2.39
U 0.0000 0.0000 0.0000  8 Si 3.10, 4 Mn 3.15, 4 Rh 3.15
Rh 0.2500 0.7500 0.5000  4 Si 2.36
Mn 0.7500 0.2500 0.5000  4 Si 2.36


Computed, not measured: a relaxed La2Pr3Y3 crystal at the PBE-GGA level of DFT.

Values from the calculation:
As for the space group: Immm, No. 71. Its crystal system is orthorhombic. The value obtained for the formation energy is 0.0166 eV/atom. The density of states at the Fermi level is 13.3 states/eV per cell. The excess energy over the best structure of this formula in the dataset is 0.0 kJ per mole of atoms.

a b c (Å): 5.1822 5.2119 10.9746
angles (deg): 103.74 103.66 90.00
With the nearest neighbours (Å) after each atom.
Atoms (fractional coordinates):
Y 0.5000 0.0000 0.0000  8 Pr 3.63-3.67, 4 Y 3.65
Y 0.6233 0.6233 0.2466  6 Pr 3.64-3.67, 2 Y 3.65, 4 La 3.69
Y 0.3767 0.3767 0.7534  6 Pr 3.64-3.67, 2 Y 3.65, 4 La 3.69
La 0.2501 0.7501 0.5001  4 La 3.67, 4 Pr 3.69-3.70, 4 Y 3.69
La 0.7499 0.2499 0.4999  4 La 3.67, 4 Pr 3.69-3.70, 4 Y 3.69
Pr 0.0000 0.5000 0.0000  8 Y 3.64-3.67, 4 Pr 3.65
Pr 0.8768 0.8768 0.7535  6 Y 3.63-3.67, 2 Pr 3.65, 4 La 3.69-3.70
Pr 0.1232 0.1232 0.2465  6 Y 3.63-3.67, 2 Pr 3.65, 4 La 3.69-3.70


Computed, not measured: a relaxed KAgAu2 crystal at the PBE-GGA level of DFT.

Values from the calculation:
As for the space group: I-4m2, No. 119. Its crystal system is tetragonal. The value obtained for the formation energy is 0.0810 eV/atom. The density of states at the Fermi level is 1.2 states/eV per cell. The excess energy over the best structure of this formula in the dataset is 15.9 kJ per mole of atoms.

a b c (Å): 5.4957 5.4957 5.4957
angles (deg): 132.81 132.81 68.96
With the nearest neighbours (Å) after each atom.
Atoms (fractional coordinates):
Au 0.2500 0.7500 0.5000  4 Ag 3.11, 4 K 3.16, 4 Au 3.16
Au 0.0000 0.0000 0.0000  4 K 3.11, 4 Ag 3.16, 4 Au 3.16
Ag 0.7500 0.2500 0.5000  8 Au 3.11-3.16, 4 K 3.16
K 0.5000 0.5000 0.0000  8 Au 3.11-3.16, 4 Ag 3.16


Computed, not measured: a relaxed Sm4ScIn crystal at the PBE-GGA level of DFT.

Values from the calculation:
As for the space group: C2/m, No. 12. Its crystal system is monoclinic. The value obtained for the formation energy is 0.2672 eV/atom. The density of states at the Fermi level is 7.1 states/eV per cell. The excess energy over the best structure of this formula in the dataset is 21.8 kJ per mole of atoms.

a b c (Å): 5.3506 5.3470 8.9977
angles (deg): 72.91 72.70 59.98
With the nearest neighbours (Å) after each atom.
Atoms (fractional coordinates):
Sm 0.3708 0.3702 0.8883  3 Sc 3.23, 1 In 3.28
Sm 0.8767 0.8751 0.3715  1 Sc 3.14, 3 In 3.27
Sm 0.1233 0.1249 0.6285  1 Sc 3.14, 3 In 3.27
Sm 0.6292 0.6298 0.1117  3 Sc 3.23, 1 In 3.28
Sc 0.0000 0.0000 0.0000  8 Sm 3.14-3.23
In 0.5000 0.5000 0.5000  8 Sm 3.27-3.28


Calculated values (μB per formula unit) of total magnetization for the records, taken in order: 1.1 0.0 0.0 0.0.